(1)
# Ba2InFe

A relaxed structure of Ba2InFe (PBE, Alexandria via LeMat-Bulk).

Cell: 4.473 4.473 9.799 Å, 81.28 81.28 51.11°
Atoms (fractional coordinates):
Ba  0.505  0.505  0.470
Ba  0.995  0.995  0.030
In  0.750  0.750  0.750
Fe  0.250  0.250  0.250

The energy of formation from the pure elements is 0.449 eV per atom.


(2)
# Ba4Ga3Au

A relaxed structure of Ba4Ga3Au (PBE, Alexandria via LeMat-Bulk).

Cell: 5.252 4.641 11.634 Å, 90.00 90.00 90.00°
Atoms (fractional coordinates):
Ba  0.000  0.500  0.855
Ba  0.000  0.000  0.146
Ba  0.500  0.000  0.644
Ba  0.500  0.500  0.352
Ga  0.000  0.500  0.552
Ga  0.500  0.000  0.950
Ga  0.000  0.000  0.445
Au  0.500  0.500  0.055

The energy of formation from the pure elements is -0.437 eV per atom.


(3)
# SrAc4Cd5

A relaxed structure of SrAc4Cd5 (PBE, Alexandria via LeMat-Bulk).

Cell: 4.072 4.072 20.418 Å, 90.00 90.00 90.00°
Atoms (fractional coordinates):
Cd  0.500  0.500  0.500
Cd  0.500  0.500  0.899
Cd  0.500  0.500  0.300
Cd  0.500  0.500  0.700
Cd  0.500  0.500  0.101
Ac  0.000  0.000  0.399
Ac  0.000  0.000  0.200
Ac  0.000  0.000  0.800
Ac  0.000  0.000  0.601
Sr  0.000  0.000  0.000

The energy of formation from the pure elements is -0.307 eV per atom.


(4)
# Li2MgS

A relaxed structure of Li2MgS (PBE, Alexandria via LeMat-Bulk).

Cell: 4.683 4.683 4.683 Å, 60.00 60.00 60.00°
Atoms (fractional coordinates):
Mg  0.000  0.000  0.000
S  0.500  0.500  0.500
Li  0.750  0.750  0.750
Li  0.250  0.250  0.250

The value obtained for the uncorrected formation energy is -384.0 meV per atom. For the energy above the lowest structure with this stoichiometry, the calculation gives 0.072 eV/atom.


(5)
# TbAl2Zn4

A relaxed structure of TbAl2Zn4 (PBE, Alexandria via LeMat-Bulk).

Cell: 4.121 4.127 7.582 Å, 105.79 90.00 90.00°
Atoms (fractional coordinates):
Zn  0.000  0.690  0.380
Zn  0.000  0.310  0.620
Zn  0.500  0.188  0.377
Zn  0.500  0.812  0.623
Al  0.500  0.414  0.828
Al  0.500  0.586  0.172
Tb  0.000  0.000  0.000

The energy of formation from the pure elements is -0.219 eV per atom.


(6)
# BaLa2YCo

A relaxed structure of BaLa2YCo (PBE, Alexandria via LeMat-Bulk).

Cell: 5.548 5.548 5.725 Å, 90.00 90.00 90.00°
Atoms (fractional coordinates):
Y  0.000  0.000  0.500
Co  0.000  0.000  0.000
Ba  0.500  0.500  0.500
La  0.500  0.000  0.000
La  0.000  0.500  0.000

The energy of formation from the pure elements is 0.005 eV per atom.


(7)
# Sm6IrPt2I3

A relaxed structure of Sm6IrPt2I3 (PBE, Alexandria via LeMat-Bulk).

Cell: 7.302 7.302 8.377 Å, 98.36 98.36 119.99°
Atoms (fractional coordinates):
Sm  0.388  0.061  0.184
Sm  0.939  0.612  0.816
Sm  0.612  0.939  0.816
Sm  0.264  0.264  0.815
Sm  0.061  0.388  0.184
Sm  0.736  0.736  0.185
I  0.500  0.500  0.500
I  0.167  0.833  0.500
I  0.833  0.167  0.500
Ir  0.000  0.000  0.000
Pt  0.667  0.333  0.000
Pt  0.333  0.667  0.000

The value obtained for the uncorrected formation energy is -1085.7 meV per atom.


(8)
# GdLuIr4

A relaxed structure of GdLuIr4 (PBE, Alexandria via LeMat-Bulk).

Cell: 5.348 5.348 5.348 Å, 60.00 60.00 60.00°
Atoms (fractional coordinates):
Ir  0.625  0.625  0.625
Ir  0.625  0.125  0.625
Ir  0.125  0.625  0.625
Ir  0.625  0.625  0.125
Gd  0.250  0.250  0.250
Lu  0.000  0.000  0.000

The energy of formation from the pure elements is -0.802 eV per atom.